--- a ---
Li2CuIr | the Alexandria database | PBE-GGA | optimized geometry; spin magnetization = 0.00 μB per formula unit; Fermi-level density of states = 3.4 states/eV per cell
1.0
2.5820 0.0000 0.0000
0.0000 4.4808 0.0000
0.0000 0.0000 9.0770
Li Cu Ir
4 2 2
Cartesian
0.0000 0.0000 0.0000 Li
0.0000 2.2404 2.2004 Li
1.2910 0.0000 6.7390 Li
1.2910 2.2404 4.5385 Li
0.0000 0.0000 4.5791 Cu
1.2910 2.2404 0.0405 Cu
0.0000 2.2404 6.8915 Ir
1.2910 0.0000 2.3530 Ir

--- b ---
Li2CuIr | the Alexandria database | PBE-GGA | optimized geometry; spin magnetization = 0.00 μB per formula unit; Fermi-level density of states = 1.5 states/eV per cell
1.0
2.5169 0.0000 0.0000
0.0000 4.1226 0.0000
0.0000 0.0000 5.1670
Li Cu Ir
2 1 1
Cartesian
0.0000 0.0000 1.2263 Li
0.0000 0.0000 3.9407 Li
1.2585 2.0613 2.5835 Cu
1.2585 2.0613 0.0000 Ir

Question: which arrangement is favored energetically? Ranking from most to least stable: b, a.